PmLuAu2: optimized geometry, GGA-PBE.

The space group is P4/mmm (No. 123) and the conventional cell measures 3.5633, 3.5633 and 7.3804 Å, with angles of 90.00, 90.00 and 90.00 degrees. The asymmetric unit holds Pm at (0.0000, 0.0000, 0.0000), Lu at (0.0000, 0.0000, 0.5000) and Au at (0.5000, 0.5000, 0.2752).

The magnetic moment comes out at 0.0 μB per formula unit. The density of states at the Fermi level comes out at 2.0 states/eV per cell. The calculation puts the energy of formation at -3.387 eV per formula unit. The mass density is 12.65 g cm⁻³.